(1)
Below is a relaxed SrSc4PbSe8 crystal, with properties calculated at the PBE level.

Output
Calculated density = 4.565 g/cm3
Total magnetization = 0.000 μB/atom
Formation energy (no corrections) = -1.480 eV per atom
DFT total energy = -5.67 eV per atom

abc: 8.510 8.510 8.510
angles: 56.69 56.69 56.69
Sites, in units of the cell vectors:
1 Sr 0.000 0.000 0.000
2 Sc 0.001 0.001 0.495
3 Sc 0.001 0.495 0.001
4 Sc 0.495 0.001 0.001
5 Sc 0.625 0.625 0.625
6 Pb 0.371 0.371 0.371
7 Se 0.230 0.230 0.230
8 Se 0.238 0.740 0.740
9 Se 0.255 0.255 0.787
10 Se 0.255 0.787 0.255
11 Se 0.740 0.238 0.740
12 Se 0.740 0.740 0.238
13 Se 0.756 0.756 0.756
14 Se 0.787 0.255 0.255

---

(2)
Below is a relaxed TmScPbSe crystal, with properties calculated at the PBE level.

Output
DOS(E_F) = 4.8 states/eV per cell
Calculated density = 8.458 g/cm3
Total magnetization = 0.000 μB/atom
Formation energy (no corrections) = -0.996 eV per atom
DFT total energy = -5.50 eV per atom

abc: 6.514 3.770 8.284
angles: 90.00 105.18 90.00
Sites, in units of the cell vectors:
1 Tm 0.000 0.000 0.000
2 Tm 0.500 0.500 0.000
3 Sc 0.195 0.000 0.583
4 Sc 0.695 0.500 0.583
5 Pb 0.266 0.500 0.302
6 Pb 0.766 0.000 0.302
7 Se 0.093 0.500 0.777
8 Se 0.593 0.000 0.777

---

(3)
Below is a relaxed Tm2Sc2Pb2Se crystal, with properties calculated at the PBE level.

Output
DOS(E_F) = 11.2 states/eV per cell
Calculated density = 7.986 g/cm3
Total magnetization = 0.000 μB/atom
Formation energy (no corrections) = -0.605 eV per atom
DFT total energy = -5.25 eV per atom

abc: 4.897 4.897 15.974
angles: 90.00 90.00 90.00
Sites, in units of the cell vectors:
1 Tm 0.000 0.000 0.172
2 Tm 0.000 0.000 0.828
3 Tm 0.500 0.500 0.328
4 Tm 0.500 0.500 0.672
5 Sc 0.000 0.500 0.000
6 Sc 0.000 0.500 0.500
7 Sc 0.500 0.000 0.000
8 Sc 0.500 0.000 0.500
9 Pb 0.000 0.000 0.365
10 Pb 0.000 0.000 0.635
11 Pb 0.500 0.500 0.135
12 Pb 0.500 0.500 0.865
13 Se 0.000 0.000 0.000
14 Se 0.500 0.500 0.500

---

(4)
Below is a relaxed YScPbSe crystal, with properties calculated at the PBE level.

Output
DOS(E_F) = 6.4 states/eV per cell
Calculated density = 6.926 g/cm3
Total magnetization = 0.000 μB/atom
Formation energy (no corrections) = -0.985 eV per atom
DFT total energy = -5.98 eV per atom

abc: 3.741 3.741 24.921
angles: 90.00 90.00 120.00
Sites, in units of the cell vectors:
1 Y 0.000 0.000 0.000
2 Y 0.333 0.667 0.667
3 Y 0.667 0.333 0.333
4 Sc 0.000 0.000 0.145
5 Sc 0.333 0.667 0.811
6 Sc 0.667 0.333 0.478
7 Pb 0.000 0.000 0.568
8 Pb 0.333 0.667 0.234
9 Pb 0.667 0.333 0.901
10 Se 0.000 0.000 0.745
11 Se 0.333 0.667 0.411
12 Se 0.667 0.333 0.078